No. 1
Computed, not measured: a PBEsol-optimized structure of TaSbP2 at the SCAN level of DFT.

E_tot = -2.2750 Ry per atom
space-group type = P2/m
total magnetic moment = 0.00 Bohr magnetons per cell
crystal system = monoclinic

abc: 3.528 4.629 4.789
angles: 90.00 99.09 90.00
Fractional coordinates of all 4 atoms:
P (0.784, 0.000, 0.649)
P (0.216, 0.000, 0.351)
Sb (0.500, 0.500, 0.000)
Ta (0.000, 0.500, 0.500)

***

No. 2
Computed, not measured: a PBEsol-optimized structure of Ba4IrO6 at the SCAN level of DFT.

E_tot = -1.9536 Ry per atom
space-group type = R-3c
total magnetic moment = 2.02 Bohr magnetons per cell
crystal system = trigonal

abc: 7.238 7.238 7.238
angles: 89.61 89.61 89.61
Fractional coordinates of all 22 atoms:
Ba (0.116, 0.384, 0.750)
Ba (0.250, 0.884, 0.616)
Ba (0.616, 0.250, 0.884)
Ba (0.750, 0.750, 0.750)
Ba (0.250, 0.250, 0.250)
Ba (0.384, 0.750, 0.116)
Ba (0.750, 0.116, 0.384)
Ba (0.884, 0.616, 0.250)
Ir (0.000, 0.000, 0.000)
Ir (0.500, 0.500, 0.500)
O (0.062, 0.730, 0.927)
O (0.270, 0.073, 0.938)
O (0.438, 0.573, 0.770)
O (0.230, 0.562, 0.427)
O (0.073, 0.938, 0.270)
O (0.427, 0.230, 0.562)
O (0.573, 0.770, 0.438)
O (0.770, 0.438, 0.573)
O (0.927, 0.062, 0.730)
O (0.562, 0.427, 0.230)
O (0.730, 0.927, 0.062)
O (0.938, 0.270, 0.073)

***

No. 3
Computed, not measured: a PBEsol-optimized structure of BaWN2F at the SCAN level of DFT.

E_tot = -1.7968 Ry per atom
space-group type = P4/mmm
total magnetic moment = 2.68 Bohr magnetons per cell
crystal system = tetragonal

abc: 4.578 4.643 4.643
angles: 90.00 90.00 90.00
Fractional coordinates of all 5 atoms:
N (0.000, 0.000, 0.500)
N (0.000, 0.500, 0.000)
Ba (0.000, 0.000, 0.000)
W (0.500, 0.500, 0.500)
F (0.500, 0.000, 0.000)